# 1
MgVIn3: optimized geometry, PBE-GGA.

## Properties
total moment = 3.81 μB/cell
E above lowest polymorph = 0.410 eV per atom
total energy = -14.332 eV for the cell shown
energy of formation from the pure elements = 919 meV/atom
crystal system = cubic

Geometry as POSCAR:
```
MgVIn3
1.0
-2.984 -0.612 -4.369
-2.167 -4.391 2.096
-3.843 2.952 2.211
Mg In V
1 3 1
Direct
0.000 0.000 0.000
0.000 0.500 0.000
0.000 0.000 0.500
0.500 0.000 0.000
0.500 0.500 0.500
```

# 2
SrAg2Pd: optimized geometry, PBE-GGA.

## Properties
total moment = 0.00 μB/cell
E above lowest polymorph = 0.145 eV per atom
total energy = -13.349 eV for the cell shown
energy of formation from the pure elements = -193 meV/atom
crystal system = tetragonal

Geometry as POSCAR:
```
SrAg2Pd
1.0
4.626 0.000 0.000
0.000 4.314 0.000
0.000 0.000 4.314
Sr Pd Ag
1 1 2
Direct
0.500 0.500 0.500
0.500 0.000 0.000
0.000 0.000 0.500
0.000 0.500 0.000
```

# 3
Co2As: optimized geometry, PBE-GGA.

## Properties
total moment = 0.00 μB/cell
total energy = -72.281 eV for the cell shown
energy of formation from the pure elements = 264 meV/atom
crystal system = cubic

Geometry as POSCAR:
```
Co2As
1.0
5.482 0.000 0.000
0.000 5.482 0.000
0.000 0.000 5.482
As Co
4 8
Direct
0.000 0.000 0.000
0.500 0.500 0.000
0.500 0.000 0.500
0.000 0.500 0.500
0.634 0.634 0.366
0.366 0.366 0.634
0.134 0.866 0.634
0.866 0.134 0.366
0.366 0.134 0.134
0.634 0.866 0.866
0.866 0.366 0.866
0.134 0.634 0.134
```

# 4
Mn2Pd3Au4: optimized geometry, PBE-GGA.

## Properties
total moment = 8.83 μB/cell
E above lowest polymorph = 0.000 eV per atom
total energy = -48.585 eV for the cell shown
energy of formation from the pure elements = -173 meV/atom
crystal system = monoclinic

Geometry as POSCAR:
```
Mn2Pd3Au4
1.0
3.942 0.000 0.844
1.778 4.451 1.326
0.247 0.057 8.477
Mn Pd Au
2 3 4
Direct
0.330 0.111 0.230
0.670 0.889 0.770
0.332 0.780 0.557
0.000 0.000 0.000
0.668 0.220 0.443
0.666 0.559 0.110
0.003 0.327 0.667
0.997 0.673 0.333
0.334 0.441 0.890
```

# 5
BiTeRh2: optimized geometry, PBE-GGA.

## Properties
total moment = 0.00 μB/cell
E above lowest polymorph = 0.248 eV per atom
total energy = -21.767 eV for the cell shown
energy relative to the elements, uncorrected = -0.010 eV/atom
crystal system = trigonal

Geometry as POSCAR:
```
BiTeRh2
1.0
-1.640 3.165 1.652
-2.644 2.112 -1.998
-6.156 -1.925 2.247
Bi Te Rh
1 1 2
Direct
0.498 0.498 0.505
0.671 0.671 0.986
0.086 0.086 0.743
0.245 0.245 0.266
```

# 6
ScGa3Rh: optimized geometry, PBE-GGA.

## Properties
total moment = 0.00 μB/cell
E above lowest polymorph = 0.519 eV per atom
total energy = -23.610 eV for the cell shown
energy of formation from the pure elements = -169 meV/atom
crystal system = cubic

Geometry as POSCAR:
```
ScGa3Rh
1.0
4.697 0.000 0.000
0.000 4.697 0.000
0.000 0.000 4.697
Sc Rh Ga
1 1 3
Direct
0.500 0.500 0.500
0.000 0.000 0.000
0.000 0.500 0.000
0.000 0.000 0.500
0.500 0.000 0.000
```

What is the total energy in the first record? -14.332 eV for the cell shown

Which of these has the highest total energy? SrAg2Pd

Copy entry 1 word for word.
MgVIn3: optimized geometry, PBE-GGA.

## Properties
total moment = 3.81 μB/cell
E above lowest polymorph = 0.410 eV per atom
total energy = -14.332 eV for the cell shown
energy of formation from the pure elements = 919 meV/atom
crystal system = cubic

Geometry as POSCAR:
```
MgVIn3
1.0
-2.984 -0.612 -4.369
-2.167 -4.391 2.096
-3.843 2.952 2.211
Mg In V
1 3 1
Direct
0.000 0.000 0.000
0.000 0.500 0.000
0.000 0.000 0.500
0.500 0.000 0.000
0.500 0.500 0.500
```

What did the fifth record say?
BiTeRh2: optimized geometry, PBE-GGA.

## Properties
total moment = 0.00 μB/cell
E above lowest polymorph = 0.248 eV per atom
total energy = -21.767 eV for the cell shown
energy relative to the elements, uncorrected = -0.010 eV/atom
crystal system = trigonal

Geometry as POSCAR:
```
BiTeRh2
1.0
-1.640 3.165 1.652
-2.644 2.112 -1.998
-6.156 -1.925 2.247
Bi Te Rh
1 1 2
Direct
0.498 0.498 0.505
0.671 0.671 0.986
0.086 0.086 0.743
0.245 0.245 0.266
```